No. 1
SrY2Fe | GGA-PBE | optimized geometry

```
data_SrY2Fe
_chemical_formula_sum 'Sr4 Y8 Fe4'
_space_group_name_H-M_alt 'I 41/a m d'
_space_group_IT_number 141
_cell_length_a 7.673
_cell_length_b 7.673
_cell_length_c 10.872
_cell_angle_alpha 90.00
_cell_angle_beta 90.00
_cell_angle_gamma 90.00
loop_
_space_group_symop_operation_xyz
'x,y,z'
'-x,-y,-z'
'-y+1/4,x+3/4,z+1/4'
'y+1/4,-x+3/4,-z+1/4'
'-x+1/2,-y,z+1/2'
'x+1/2,y,-z+1/2'
'y+1/4,-x+1/4,z+3/4'
'-y+1/4,x+1/4,-z+3/4'
'x,-y,-z'
'-x,y,z'
'-y+1/4,-x+1/4,-z+3/4'
'y+1/4,x+1/4,z+3/4'
'-x+1/2,y,-z+1/2'
'x+1/2,-y,z+1/2'
'y+1/4,x+3/4,-z+1/4'
'-y+1/4,-x+3/4,z+1/4'
'x+1/2,y+1/2,z+1/2'
'-x+1/2,-y+1/2,-z+1/2'
'-y+3/4,x+1/4,z+3/4'
'y+3/4,-x+1/4,-z+3/4'
'-x,-y+1/2,z'
'x,y+1/2,-z'
'y+3/4,-x+3/4,z+1/4'
'-y+3/4,x+3/4,-z+1/4'
'x+1/2,-y+1/2,-z+1/2'
'-x+1/2,y+1/2,z+1/2'
'-y+3/4,-x+3/4,-z+1/4'
'y+3/4,x+3/4,z+1/4'
'-x,y+1/2,-z'
'x,-y+1/2,z'
'y+3/4,x+1/4,-z+3/4'
'-y+3/4,-x+1/4,z+3/4'
loop_
_atom_site_label
_atom_site_type_symbol
_atom_site_fract_x
_atom_site_fract_y
_atom_site_fract_z
_atom_site_occupancy
Sr1 Sr 0.000 0.250 0.375 1
Y1 Y 0.000 0.000 0.000 1
Fe1 Fe 0.000 0.250 0.875 1
```

The value obtained for the density of states at the Fermi level is 12.34 states/eV per cell. The electronic total energy comes out at -5.198 eV/atom. Its calculated formation energy is 0.570 eV/atom. The crystal system is tetragonal. Its energy above the lowest structure with this stoichiometry is 421 meV per atom. Its calculated density is 3.33 g cm⁻³.

---

No. 2
SrY2Fe | GGA-PBE | optimized geometry

```
data_SrY2Fe
_chemical_formula_sum 'Sr2 Y4 Fe2'
_space_group_name_H-M_alt 'I -4 m 2'
_space_group_IT_number 119
_space_group_name_Hall 'I -4 -2'
_cell_length_a 4.792
_cell_length_b 4.792
_cell_length_c 10.149
_cell_angle_alpha 90.00
_cell_angle_beta 90.00
_cell_angle_gamma 90.00
loop_
_atom_site_label
_atom_site_type_symbol
_atom_site_fract_x
_atom_site_fract_y
_atom_site_fract_z
_atom_site_occupancy
Sr1 Sr 0.000 0.000 0.000 1
Y1 Y 0.000 0.000 0.500 1
Y2 Y 0.000 0.500 0.750 1
Fe1 Fe 0.000 0.500 0.250 1
```

The value obtained for the density of states at the Fermi level is 12.83 states/eV per cell. The electronic total energy comes out at -5.201 eV/atom. Its calculated formation energy is 0.567 eV/atom. The crystal system is tetragonal. Its energy above the lowest structure with this stoichiometry is 418 meV per atom. Its calculated density is 4.58 g cm⁻³.

---

No. 3
Sr2YFe | GGA-PBE | optimized geometry

```
data_Sr2YFe
_chemical_formula_sum 'Sr8 Y4 Fe4'
_space_group_name_H-M_alt 'F m -3 m'
_space_group_IT_number 225
_space_group_name_Hall '-F 4 2 3'
_cell_length_a 7.859
_cell_length_b 7.859
_cell_length_c 7.859
_cell_angle_alpha 90.00
_cell_angle_beta 90.00
_cell_angle_gamma 90.00
loop_
_atom_site_label
_atom_site_type_symbol
_atom_site_fract_x
_atom_site_fract_y
_atom_site_fract_z
_atom_site_occupancy
Sr1 Sr 0.250 0.250 0.250 1
Y1 Y 0.000 0.000 0.000 1
Fe1 Fe 0.000 0.000 0.500 1
```

The value obtained for the density of states at the Fermi level is 31.52 states/eV per cell. The electronic total energy comes out at -3.630 eV/atom. Its calculated formation energy is 0.943 eV/atom. The crystal system is cubic. Its energy above the lowest structure with this stoichiometry is 657 meV per atom. Its calculated density is 4.38 g cm⁻³.

---

No. 4
SrY2Fe | GGA-PBE | optimized geometry

```
data_SrY2Fe
_chemical_formula_sum 'Sr4 Y8 Fe4'
_space_group_name_H-M_alt 'F -4 3 m'
_space_group_IT_number 216
_space_group_name_Hall 'F -4 2 3'
_cell_length_a 7.754
_cell_length_b 7.754
_cell_length_c 7.754
_cell_angle_alpha 90.00
_cell_angle_beta 90.00
_cell_angle_gamma 90.00
loop_
_atom_site_label
_atom_site_type_symbol
_atom_site_fract_x
_atom_site_fract_y
_atom_site_fract_z
_atom_site_occupancy
Sr1 Sr 0.000 0.000 0.000 1
Y1 Y 0.000 0.000 0.500 1
Y2 Y 0.250 0.250 0.750 1
Fe1 Fe 0.250 0.250 0.250 1
```

The value obtained for the density of states at the Fermi level is 39.02 states/eV per cell. The electronic total energy comes out at -5.144 eV/atom. Its calculated formation energy is 0.624 eV/atom. The crystal system is cubic. Its energy above the lowest structure with this stoichiometry is 475 meV per atom. Its calculated density is 4.58 g cm⁻³.

---

No. 5
Sr2YFe | GGA-PBE | optimized geometry

```
data_Sr2YFe
_chemical_formula_sum 'Sr2 Y1 Fe1'
_space_group_name_H-M_alt 'P 4 m m'
_space_group_IT_number 99
_space_group_name_Hall 'P 4 -2'
_cell_length_a 3.754
_cell_length_b 3.754
_cell_length_c 9.667
_cell_angle_alpha 90.00
_cell_angle_beta 90.00
_cell_angle_gamma 90.00
loop_
_atom_site_label
_atom_site_type_symbol
_atom_site_fract_x
_atom_site_fract_y
_atom_site_fract_z
_atom_site_occupancy
Sr1 Sr 0.000 0.000 0.000 1
Sr2 Sr 0.500 0.500 0.355 1
Y1 Y 0.000 0.000 0.652 1
Fe1 Fe 0.500 0.500 0.779 1
```

The value obtained for the density of states at the Fermi level is 6.03 states/eV per cell. The electronic total energy comes out at -4.287 eV/atom. Its calculated formation energy is 0.286 eV/atom. The crystal system is tetragonal. Its energy above the lowest structure with this stoichiometry is 0 meV per atom. Its calculated density is 3.90 g cm⁻³.

---

No. 6
SrYFe2 | GGA-PBE | optimized geometry

```
data_SrYFe2
_chemical_formula_sum 'Sr4 Y4 Fe8'
_space_group_name_H-M_alt 'I 41/a m d'
_space_group_IT_number 141
_cell_length_a 4.727
_cell_length_b 4.727
_cell_length_c 18.096
_cell_angle_alpha 90.00
_cell_angle_beta 90.00
_cell_angle_gamma 90.00
loop_
_space_group_symop_operation_xyz
'x,y,z'
'-x,-y,-z'
'-y+1/4,x+3/4,z+1/4'
'y+1/4,-x+3/4,-z+1/4'
'-x+1/2,-y,z+1/2'
'x+1/2,y,-z+1/2'
'y+1/4,-x+1/4,z+3/4'
'-y+1/4,x+1/4,-z+3/4'
'x,-y,-z'
'-x,y,z'
'-y+1/4,-x+1/4,-z+3/4'
'y+1/4,x+1/4,z+3/4'
'-x+1/2,y,-z+1/2'
'x+1/2,-y,z+1/2'
'y+1/4,x+3/4,-z+1/4'
'-y+1/4,-x+3/4,z+1/4'
'x+1/2,y+1/2,z+1/2'
'-x+1/2,-y+1/2,-z+1/2'
'-y+3/4,x+1/4,z+3/4'
'y+3/4,-x+1/4,-z+3/4'
'-x,-y+1/2,z'
'x,y+1/2,-z'
'y+3/4,-x+3/4,z+1/4'
'-y+3/4,x+3/4,-z+1/4'
'x+1/2,-y+1/2,-z+1/2'
'-x+1/2,y+1/2,z+1/2'
'-y+3/4,-x+3/4,-z+1/4'
'y+3/4,x+3/4,z+1/4'
'-x,y+1/2,-z'
'x,-y+1/2,z'
'y+3/4,x+1/4,-z+3/4'
'-y+3/4,-x+1/4,z+3/4'
loop_
_atom_site_label
_atom_site_type_symbol
_atom_site_fract_x
_atom_site_fract_y
_atom_site_fract_z
_atom_site_occupancy
Sr1 Sr 0.000 0.250 0.375 1
Y1 Y 0.000 0.250 0.875 1
Fe1 Fe 0.000 0.000 0.000 1
```

The value obtained for the density of states at the Fermi level is 29.48 states/eV per cell. The electronic total energy comes out at -5.285 eV/atom. Its calculated formation energy is 0.983 eV/atom. The crystal system is tetragonal. Its calculated density is 4.74 g cm⁻³.

---

No. 7
SrY2Fe | GGA-PBE | optimized geometry

```
data_SrY2Fe
_chemical_formula_sum 'Sr4 Y8 Fe4'
_space_group_name_H-M_alt 'F m -3 m'
_space_group_IT_number 225
_space_group_name_Hall '-F 4 2 3'
_cell_length_a 7.442
_cell_length_b 7.442
_cell_length_c 7.442
_cell_angle_alpha 90.00
_cell_angle_beta 90.00
_cell_angle_gamma 90.00
loop_
_atom_site_label
_atom_site_type_symbol
_atom_site_fract_x
_atom_site_fract_y
_atom_site_fract_z
_atom_site_occupancy
Sr1 Sr 0.000 0.000 0.000 1
Y1 Y 0.250 0.250 0.250 1
Fe1 Fe 0.000 0.000 0.500 1
```

The value obtained for the density of states at the Fermi level is 24.32 states/eV per cell. The electronic total energy comes out at -5.158 eV/atom. Its calculated formation energy is 0.611 eV/atom. The crystal system is cubic. Its energy above the lowest structure with this stoichiometry is 461 meV per atom. Its calculated density is 5.18 g cm⁻³.

---

No. 8
SrY2Fe | GGA-PBE | optimized geometry

```
data_SrY2Fe
_chemical_formula_sum 'Sr1 Y2 Fe1'
_space_group_name_H-M_alt 'P 4 m m'
_space_group_IT_number 99
_space_group_name_Hall 'P 4 -2'
_cell_length_a 3.814
_cell_length_b 3.814
_cell_length_c 8.423
_cell_angle_alpha 90.00
_cell_angle_beta 90.00
_cell_angle_gamma 90.00
loop_
_atom_site_label
_atom_site_type_symbol
_atom_site_fract_x
_atom_site_fract_y
_atom_site_fract_z
_atom_site_occupancy
Sr1 Sr 0.000 0.000 0.000 1
Y1 Y 0.000 0.000 0.603 1
Y2 Y 0.500 0.500 0.350 1
Fe1 Fe 0.500 0.500 0.723 1
```

The value obtained for the density of states at the Fermi level is 5.63 states/eV per cell. The electronic total energy comes out at -5.487 eV/atom. Its calculated formation energy is 0.281 eV/atom. The crystal system is tetragonal. Its energy above the lowest structure with this stoichiometry is 132 meV per atom. Its calculated density is 4.35 g cm⁻³.

---

No. 9
Sr2YFe | GGA-PBE | optimized geometry

```
data_Sr2YFe
_chemical_formula_sum 'Sr6 Y3 Fe3'
_space_group_name_H-M_alt 'R -3 m'
_space_group_IT_number 166
_space_group_name_Hall '-R 3 2"'
_cell_length_a 3.8020
_cell_length_b 3.8020
_cell_length_c 33.3963
_cell_angle_alpha 90.00
_cell_angle_beta 90.00
_cell_angle_gamma 120.00
loop_
_atom_site_label
_atom_site_type_symbol
_atom_site_fract_x
_atom_site_fract_y
_atom_site_fract_z
_atom_site_occupancy
Sr1 Sr 0.0000 0.0000 0.2344 1
Y1 Y 0.0000 0.0000 0.0000 1
Fe1 Fe 0.0000 0.0000 0.5000 1
```

The value obtained for the density of states at the Fermi level is 22.12 states/eV per cell. The electronic total energy comes out at -3.931 eV/atom. Its calculated formation energy is 0.642 eV/atom. The crystal system is trigonal. Its energy above the lowest structure with this stoichiometry is 356 meV per atom. Its calculated density is 3.81 g cm⁻³.

---

No. 10
SrYFe3 | GGA-PBE | optimized geometry

```
data_SrYFe3
_chemical_formula_sum 'Sr1 Y1 Fe3'
_space_group_name_H-M_alt 'P m -3 m'
_space_group_IT_number 221
_space_group_name_Hall '-P 4 2 3'
_cell_length_a 5.038
_cell_length_b 5.038
_cell_length_c 5.038
_cell_angle_alpha 90.00
_cell_angle_beta 90.00
_cell_angle_gamma 90.00
loop_
_atom_site_label
_atom_site_type_symbol
_atom_site_fract_x
_atom_site_fract_y
_atom_site_fract_z
_atom_site_occupancy
Sr1 Sr 0.000 0.000 0.000 1
Y1 Y 0.500 0.500 0.500 1
Fe1 Fe 0.000 0.500 0.500 1
```

The value obtained for the density of states at the Fermi level is 3.97 states/eV per cell. The electronic total energy comes out at -5.498 eV/atom. Its calculated formation energy is 1.208 eV/atom. The crystal system is cubic. Its energy above the lowest structure with this stoichiometry is 0 meV per atom. Its calculated density is 4.47 g cm⁻³.

---

No. 11
Sr2YFe | GGA-PBE | optimized geometry

```
data_Sr2YFe
_chemical_formula_sum 'Sr8 Y4 Fe4'
_space_group_name_H-M_alt 'I -4 2 d'
_space_group_IT_number 122
_space_group_name_Hall 'I -4 2bw'
_cell_length_a 11.321
_cell_length_b 11.321
_cell_length_c 4.939
_cell_angle_alpha 90.00
_cell_angle_beta 90.00
_cell_angle_gamma 90.00
loop_
_atom_site_label
_atom_site_type_symbol
_atom_site_fract_x
_atom_site_fract_y
_atom_site_fract_z
_atom_site_occupancy
Sr1 Sr 0.096 0.750 0.125 1
Y1 Y 0.000 0.000 0.500 1
Fe1 Fe 0.000 0.000 0.000 1
```

The value obtained for the density of states at the Fermi level is 28.28 states/eV per cell. The electronic total energy comes out at -3.926 eV/atom. Its calculated formation energy is 0.646 eV/atom. The crystal system is tetragonal. Its energy above the lowest structure with this stoichiometry is 361 meV per atom. Its calculated density is 3.36 g cm⁻³.

---

No. 12
SrYFe2 | GGA-PBE | optimized geometry

```
data_SrYFe2
_chemical_formula_sum 'Sr1 Y1 Fe2'
_space_group_name_H-M_alt 'P 4 m m'
_space_group_IT_number 99
_space_group_name_Hall 'P 4 -2'
_cell_length_a 3.396
_cell_length_b 3.396
_cell_length_c 8.344
_cell_angle_alpha 90.00
_cell_angle_beta 90.00
_cell_angle_gamma 90.00
loop_
_atom_site_label
_atom_site_type_symbol
_atom_site_fract_x
_atom_site_fract_y
_atom_site_fract_z
_atom_site_occupancy
Sr1 Sr 0.000 0.000 0.000 1
Y1 Y 0.500 0.500 0.402 1
Fe1 Fe 0.000 0.000 0.624 1
Fe2 Fe 0.500 0.500 0.730 1
```

The value obtained for the density of states at the Fermi level is 3.35 states/eV per cell. The electronic total energy comes out at -5.945 eV/atom. Its calculated formation energy is 0.323 eV/atom. The crystal system is tetragonal. Its calculated density is 4.97 g cm⁻³.

---

No. 13
Sr2YFe | GGA-PBE | optimized geometry

```
data_Sr2YFe
_chemical_formula_sum 'Sr4 Y2 Fe2'
_space_group_name_H-M_alt 'I -4 m 2'
_space_group_IT_number 119
_space_group_name_Hall 'I -4 -2'
_cell_length_a 5.266
_cell_length_b 5.266
_cell_length_c 9.347
_cell_angle_alpha 90.00
_cell_angle_beta 90.00
_cell_angle_gamma 90.00
loop_
_atom_site_label
_atom_site_type_symbol
_atom_site_fract_x
_atom_site_fract_y
_atom_site_fract_z
_atom_site_occupancy
Sr1 Sr 0.000 0.000 0.000 1
Sr2 Sr 0.000 0.500 0.250 1
Y1 Y 0.000 0.500 0.750 1
Fe1 Fe 0.000 0.000 0.500 1
```

The value obtained for the density of states at the Fermi level is 14.93 states/eV per cell. The electronic total energy comes out at -3.915 eV/atom. Its calculated formation energy is 0.658 eV/atom. The crystal system is tetragonal. Its energy above the lowest structure with this stoichiometry is 372 meV per atom. Its calculated density is 4.10 g cm⁻³.

---

No. 14
SrYFe | GGA-PBE | optimized geometry

```
data_SrYFe
_chemical_formula_sum 'Sr2 Y2 Fe2'
_space_group_name_H-M_alt 'I 4 m m'
_space_group_IT_number 107
_space_group_name_Hall 'I 4 -2'
_cell_length_a 3.620
_cell_length_b 3.620
_cell_length_c 13.217
_cell_angle_alpha 90.00
_cell_angle_beta 90.00
_cell_angle_gamma 90.00
loop_
_atom_site_label
_atom_site_type_symbol
_atom_site_fract_x
_atom_site_fract_y
_atom_site_fract_z
_atom_site_occupancy
Sr1 Sr 0.000 0.000 0.000 1
Y1 Y 0.000 0.000 0.261 1
Fe1 Fe 0.000 0.000 0.658 1
```

The value obtained for the density of states at the Fermi level is 11.71 states/eV per cell. The electronic total energy comes out at -5.187 eV/atom. Its calculated formation energy is 0.349 eV/atom. The crystal system is tetragonal. Its energy above the lowest structure with this stoichiometry is 0 meV per atom. Its calculated density is 4.46 g cm⁻³.

---

No. 15
Sr2YFe | GGA-PBE | optimized geometry

```
data_Sr2YFe
_chemical_formula_sum 'Sr4 Y2 Fe2'
_space_group_name_H-M_alt 'I m m m'
_space_group_IT_number 71
_space_group_name_Hall '-I 2 2'
_cell_length_a 3.610
_cell_length_b 4.312
_cell_length_c 18.620
_cell_angle_alpha 90.00
_cell_angle_beta 90.00
_cell_angle_gamma 90.00
loop_
_atom_site_label
_atom_site_type_symbol
_atom_site_fract_x
_atom_site_fract_y
_atom_site_fract_z
_atom_site_occupancy
Sr1 Sr 0.000 0.000 0.159 1
Y1 Y 0.000 0.500 0.000 1
Fe1 Fe 0.000 0.500 0.500 1
```

The value obtained for the density of states at the Fermi level is 12.69 states/eV per cell. The electronic total energy comes out at -4.193 eV/atom. Its calculated formation energy is 0.380 eV/atom. The crystal system is orthorhombic. Its energy above the lowest structure with this stoichiometry is 94 meV per atom. Its calculated density is 3.67 g cm⁻³.